Entry 1:
{"formula": "CsCd2InCl8", "functional": "GGA-PBE", "state": "relaxed", "lattice": [[5.413, -3.686, 0.000], [5.413, 3.686, 0.000], [-1.163, 0.000, 10.049]], "species": ["Cs", "Cd", "Cd", "In", "Cl", "Cl", "Cl", "Cl", "Cl", "Cl", "Cl", "Cl"], "frac_coords": [[0.000, 0.000, 0.000], [0.370, 0.370, 0.698], [0.630, 0.630, 0.302], [0.000, 0.000, 0.500], [0.210, 0.732, 0.315], [0.233, 0.233, 0.481], [0.268, 0.790, 0.685], [0.319, 0.319, 0.923], [0.681, 0.681, 0.077], [0.732, 0.210, 0.315], [0.767, 0.767, 0.519], [0.790, 0.268, 0.685]], "spacegroup": "C2/m", "formation_energy_uncorrected_ev_per_atom": -1.227}


Entry 2:
{"formula": "CsK2SiTe4", "functional": "GGA-PBE", "state": "relaxed", "lattice": [[7.164, -6.922, 0.000], [7.164, 6.922, 0.000], [-6.055, 0.000, 7.728]], "species": ["Cs", "Cs", "K", "K", "K", "K", "Si", "Si", "Te", "Te", "Te", "Te", "Te", "Te", "Te", "Te"], "frac_coords": [[0.000, 0.000, 0.000], [0.000, 0.000, 0.500], [0.000, 0.500, 0.000], [0.500, 0.000, 0.500], [0.500, 0.500, 0.000], [0.500, 0.500, 0.500], [0.000, 0.500, 0.500], [0.500, 0.000, 0.000], [0.154, 0.642, 0.431], [0.204, 0.334, 0.535], [0.334, 0.204, 0.035], [0.358, 0.846, 0.069], [0.642, 0.154, 0.931], [0.666, 0.796, 0.965], [0.796, 0.666, 0.465], [0.846, 0.358, 0.569]], "spacegroup": "C2/c", "formation_energy_uncorrected_ev_per_atom": -0.382}


Entry 3:
{"formula": "BaInBi2Pb", "functional": "GGA-PBE", "state": "relaxed", "lattice": [[8.871, -2.672, 0.000], [8.871, 2.672, 0.000], [-5.364, 0.000, 8.253]], "species": ["Ba", "Ba", "In", "In", "Bi", "Bi", "Bi", "Bi", "Pb", "Pb"], "frac_coords": [[0.247, 0.247, 0.237], [0.753, 0.753, 0.763], [0.076, 0.076, 0.736], [0.924, 0.924, 0.264], [0.131, 0.131, 0.477], [0.381, 0.381, 0.060], [0.619, 0.619, 0.940], [0.869, 0.869, 0.523], [0.411, 0.411, 0.747], [0.589, 0.589, 0.253]], "spacegroup": "C2/m", "formation_enthalpy_0k_mev_per_atom": -350}


Entry 4:
{"formula": "FeBrCl2", "functional": "GGA-PBE", "state": "relaxed", "lattice": [[3.049, 0.000, 0.000], [0.000, 3.049, 0.000], [0.000, 0.000, 10.641]], "species": ["Fe", "Br", "Cl", "Cl"], "frac_coords": [[0.000, 0.000, 0.000], [0.000, 0.000, 0.500], [0.500, 0.500, 0.141], [0.500, 0.500, 0.859]], "spacegroup": "P4/mmm", "formation_energy_uncorrected_ev_per_atom": -0.201, "e_above_lowest_polymorph_mev_per_atom": 432}


Entry 5:
{"formula": "Na6Hg2AuO", "functional": "GGA-PBE", "state": "relaxed", "lattice": [[6.885, 0.000, 0.000], [3.439, 6.370, 0.000], [3.432, -1.836, 6.107]], "species": ["Na", "Na", "Na", "Na", "Na", "Na", "Hg", "Hg", "Au", "O"], "frac_coords": [[0.000, 0.000, 0.000], [0.005, 0.551, 0.439], [0.019, 0.989, 0.435], [0.447, 0.565, 0.007], [0.558, 0.986, 0.432], [0.987, 0.563, 0.004], [0.502, 0.056, 0.940], [0.503, 0.495, 0.499], [0.003, 0.276, 0.719], [0.003, 0.776, 0.219]], "spacegroup": "P1", "formation_energy_uncorrected_ev_per_atom": -0.462}


Entry 6:
{"formula": "LiCaCu", "functional": "GGA-PBE", "state": "relaxed", "lattice": [[4.371, 0.000, 0.000], [-2.185, 3.785, 0.000], [0.000, 0.000, 4.060]], "species": ["Li", "Ca", "Cu"], "frac_coords": [[0.000, 0.000, 0.000], [0.333, 0.667, 0.501], [0.667, 0.333, 0.002]], "spacegroup": "P3m1", "formation_enthalpy_0k_mev_per_atom": -1, "e_above_lowest_polymorph_mev_per_atom": 76}


no.,theoretical density (g/cm³)
1,3.13
2,3.25
3,7.45
4,3.47
5,4.66
6,2.73